Material: PdSe
Method: DFT, GGA-PBE
State: optimized geometry

Lattice parameters (Å, degrees): 7.7304 7.7304 7.7304 90.00 90.00 90.00
With the nearest neighbours (Å) after each atom.
Space group I-43m (No. 217)
One atom of each set of equivalent atoms:
Pd: 0.1389 0.1389 0.8611  4 Se 2.40-2.52
Se: 0.1819 0.1819 0.1819  4 Pd 2.40-2.52

Computed properties:
Total moment (μB per formula unit): 0.0
Volume (A^3/atom): 28.9
Density (g/cm³): 5.33
Formation energy from raw total energies (eV per atom): -0.03